[1]
First-principles (PBE) data for a relaxed structure of RbNpSb2, as listed in Alexandria via LeMat-Bulk.

Space group   R-3m
Total energy   -5.663 eV per atom
Raw formation energy   -48 kJ/mol of formula units

a b c (Å): 4.631 4.631 8.768
angles (deg): 74.69 74.69 60.00
Atoms (fractional coordinates):
Sb1 0.727 0.727 0.820
Sb2 0.273 0.273 0.180
Rb1 0.500 0.500 0.500
Np1 0.000 0.000 0.000

[2]
First-principles (PBE) data for a relaxed structure of RbNpSb2, as listed in Alexandria via LeMat-Bulk.

Space group   R3m
Total energy   -5.649 eV per atom
Raw formation energy   -43 kJ/mol of formula units

a b c (Å): 4.603 4.603 8.911
angles (deg): 75.03 75.03 60.00
Atoms (fractional coordinates):
Sb1 0.274 0.274 0.179
Sb2 0.061 0.061 0.817
Np1 0.668 0.668 0.997
Rb1 0.498 0.498 0.506

[3]
First-principles (PBE) data for a relaxed structure of RbNpSb2, as listed in Alexandria via LeMat-Bulk.

Space group   P4/mmm
Total energy   -5.759 eV per atom
Raw formation energy   -85 kJ/mol of formula units

a b c (Å): 4.113 4.113 8.039
angles (deg): 90.00 90.00 90.00
Atoms (fractional coordinates):
Sb1 0.000 0.000 0.817
Rb1 0.500 0.500 0.500
Np1 0.500 0.500 0.000
Sb2 0.000 0.000 0.183

[4]
First-principles (PBE) data for a relaxed structure of Rb3NpSb2Se6, as listed in Alexandria via LeMat-Bulk.

Space group   C2/m
Total energy   -4.604 eV per atom
Raw formation energy   -989 kJ/mol of formula units

a b c (Å): 7.469 7.469 8.353
angles (deg): 98.56 98.56 120.01
Atoms (fractional coordinates):
Rb1 0.168 0.832 0.500
Se1 0.399 0.065 0.197
Se2 0.601 0.935 0.803
Rb2 0.500 0.500 0.500
Np1 0.000 0.000 0.000
Rb3 0.832 0.168 0.500
Sb1 0.666 0.334 0.000
Se3 0.935 0.601 0.803
Se4 0.065 0.399 0.197
Se5 0.732 0.732 0.197
Se6 0.268 0.268 0.803
Sb2 0.334 0.666 0.000